VASP calculation (PBE) on crystalline Ag3OsPt at its relaxed geometry.

The structure in POSCAR format:
```
Ag3OsPt
1.0
5.015 0.000 0.000
0.000 5.015 0.000
0.000 0.000 5.015
Ag Os Pt
3 1 1
Cartesian
0.000 0.000 2.507
2.507 0.000 0.000
0.000 2.507 0.000
2.507 2.507 2.507
0.000 0.000 0.000
```

## Properties
**E above lowest polymorph**: 0.00 eV/f.u.
**Uncorrected energy**: -16.54 eV per cell
**DOS(E_F)**: 4.1 states/eV/cell
**ΔH_f (0 K)**: 1856.7 meV per atom
**Space group**: Pm-3m
**Crystal system**: cubic
**Calculated volume**: 126 Å³ per cell